No. 1
LiHfPt3: relaxed, GGA-PBE.

Cell: 4.412 5.205 7.505 Å, 90.00 107.09 90.00°
Space group P2_1/m (No. 11)
Unique sites:
Li 0.159 0.250 0.320 [2 per cell]
Hf 0.368 0.250 0.740 [2 per cell]
Pt 0.000 0.000 0.000 [2 per cell]
Pt 0.243 0.750 0.484 [2 per cell]
Pt 0.439 0.750 0.879 [2 per cell]

Summary:
As for the calculated total energy: -6.7558 eV/atom.

***

No. 2
LiHf3Pt4: relaxed, GGA-PBE.

Cell: 13.863 4.633 4.634 Å, 90.00 109.43 90.00°
Space group C2/m (No. 12)
Unique sites:
Li 0.000 0.000 0.000 [2 per cell]
Hf 0.000 0.500 0.500 [2 per cell]
Hf 0.242 0.000 0.242 [4 per cell]
Pt 0.125 0.000 0.625 [4 per cell]
Pt 0.125 0.500 0.124 [4 per cell]

Summary:
As for the calculated total energy: -7.9615 eV/atom.

***

No. 3
LiHf2Pt6: relaxed, GGA-PBE.

Cell: 3.839 7.017 12.186 Å, 90.00 90.00 90.00°
Space group Immm (No. 71)
Unique sites:
Li 0.000 0.000 0.000 [2 per cell]
Hf 0.000 0.000 0.350 [4 per cell]
Pt 0.000 0.227 0.165 [8 per cell]
Pt 0.000 0.277 0.500 [4 per cell]

Summary:
As for the calculated total energy: -7.1641 eV/atom.

***

No. 4
LiHf2Pt6: relaxed, GGA-PBE.

Cell: 7.6058 7.6058 2.9226 Å, 90.00 90.00 120.00°
Space group P-62m (No. 189)
Unique sites:
Li 0.0000 0.0000 0.0000 [1 per cell]
Hf 0.3333 0.6667 0.5000 [2 per cell]
Pt 0.0000 0.2879 0.5000 [3 per cell]
Pt 0.0000 0.6369 0.0000 [3 per cell]

Summary:
As for the calculated total energy: -7.1825 eV/atom.